Entry 1:
# KBeCr2 | the Alexandria database | PBE | relaxed
# - Calculated density: 4.27 g cm⁻³
# - E: -20.063 eV for the cell shown
# - Calculated formation energy: 4.0 eV/f.u.
data_KBeCr2
_chemical_formula_sum 'K1 Be1 Cr2'
_cell_length_a 2.539
_cell_length_b 2.539
_cell_length_c 9.184
_cell_angle_alpha 90.00
_cell_angle_beta 90.00
_cell_angle_gamma 90.19
_symmetry_space_group_name_H-M 'P 1'
_symmetry_Int_Tables_number 1
loop_
_symmetry_equiv_pos_as_xyz
'x,y,z'
loop_
_atom_site_label
_atom_site_fract_x
_atom_site_fract_y
_atom_site_fract_z
_atom_site_occupancy
Be1 0.500 0.500 0.750 1
K1 0.500 0.500 0.250 1
Cr1 0.000 0.000 0.919 1
Cr2 0.000 0.000 0.581 1

=====

Entry 2:
# UAlSe4 | the Alexandria database | PBE | relaxed
# - Calculated density: 5.59 g cm⁻³
# - E_form (uncorrected): -774.2 meV/atom
# - E: -67.229 eV for the cell shown
data_UAlSe4
_chemical_formula_sum 'U2 Al2 Se8'
_cell_length_a 6.479
_cell_length_b 6.693
_cell_length_c 7.956
_cell_angle_alpha 90.00
_cell_angle_beta 90.00
_cell_angle_gamma 90.00
_symmetry_space_group_name_H-M 'P 1'
_symmetry_Int_Tables_number 1
loop_
_symmetry_equiv_pos_as_xyz
'x,y,z'
loop_
_atom_site_label
_atom_site_fract_x
_atom_site_fract_y
_atom_site_fract_z
_atom_site_occupancy
Se1 0.845 0.311 0.000 1
Se2 0.319 0.182 0.241 1
Se3 0.345 0.689 0.500 1
Se4 0.330 0.673 0.000 1
Se5 0.830 0.327 0.500 1
Se6 0.319 0.182 0.759 1
Se7 0.819 0.818 0.741 1
Se8 0.819 0.818 0.259 1
U1 0.077 0.977 0.000 1
U2 0.577 0.023 0.500 1
Al1 0.481 0.343 0.000 1
Al2 0.981 0.657 0.500 1

=====

Entry 3:
# CsFe2AuCl8 | the Alexandria database | PBE | relaxed
# - Calculated density: 3.07 g cm⁻³
# - E_form (uncorrected): -875.4 meV/atom
# - E: -46.334 eV for the cell shown
data_CsFe2AuCl8
_chemical_formula_sum 'Cs1 Fe2 Au1 Cl8'
_cell_length_a 6.978
_cell_length_b 7.694
_cell_length_c 9.417
_cell_angle_alpha 62.80
_cell_angle_beta 68.25
_cell_angle_gamma 63.04
_symmetry_space_group_name_H-M 'P 1'
_symmetry_Int_Tables_number 1
loop_
_symmetry_equiv_pos_as_xyz
'x,y,z'
loop_
_atom_site_label
_atom_site_fract_x
_atom_site_fract_y
_atom_site_fract_z
_atom_site_occupancy
Cl1 0.322 0.438 0.919 1
Cl2 0.678 0.562 0.081 1
Cl3 0.140 0.998 0.219 1
Cl4 0.644 0.998 0.219 1
Cl5 0.860 0.002 0.781 1
Cl6 0.861 0.626 0.651 1
Cl7 0.139 0.374 0.349 1
Cl8 0.356 0.002 0.781 1
Au1 0.000 0.000 0.000 1
Cs1 0.500 0.500 0.500 1
Fe1 0.307 0.216 0.169 1
Fe2 0.693 0.784 0.831 1

=====

Entry 4:
# InPSe2 | the Alexandria database | PBE | relaxed
# - Calculated density: 4.77 g cm⁻³
# - E_form (uncorrected): -81.0 meV/atom
# - E: -15.441 eV for the cell shown
data_InPSe2
_chemical_formula_sum 'In1 P1 Se2'
_cell_length_a 3.793
_cell_length_b 4.615
_cell_length_c 6.292
_cell_angle_alpha 73.88
_cell_angle_beta 90.00
_cell_angle_gamma 90.00
_symmetry_space_group_name_H-M 'P 1'
_symmetry_Int_Tables_number 1
loop_
_symmetry_equiv_pos_as_xyz
'x,y,z'
loop_
_atom_site_label
_atom_site_fract_x
_atom_site_fract_y
_atom_site_fract_z
_atom_site_occupancy
Se1 0.500 0.552 0.720 1
Se2 0.000 0.837 0.120 1
In1 0.000 0.097 0.579 1
P1 0.500 0.514 0.082 1

=====

Entry 5:
# NaC | the Alexandria database | PBE | relaxed
# - Calculated density: 1.14 g cm⁻³
# - E: -11.023 eV for the cell shown
# - Calculated formation energy: 5.0 eV/f.u.
data_NaC
_chemical_formula_sum 'Na2 C2'
_cell_length_a 4.610
_cell_length_b 4.610
_cell_length_c 5.517
_cell_angle_alpha 90.00
_cell_angle_beta 90.00
_cell_angle_gamma 120.00
_symmetry_space_group_name_H-M 'P 1'
_symmetry_Int_Tables_number 1
loop_
_symmetry_equiv_pos_as_xyz
'x,y,z'
loop_
_atom_site_label
_atom_site_fract_x
_atom_site_fract_y
_atom_site_fract_z
_atom_site_occupancy
Na1 0.333 0.667 0.750 1
Na2 0.667 0.333 0.250 1
C1 0.667 0.333 0.750 1
C2 0.333 0.667 0.250 1

=====

Entry 6:
# LaDyGeS | the Alexandria database | PBE | relaxed
# - Calculated density: 6.53 g cm⁻³
# - E_form (uncorrected): -1457.0 meV/atom
# - E: -24.102 eV for the cell shown
data_LaDyGeS
_chemical_formula_sum 'La1 Dy1 Ge1 S1'
_cell_length_a 4.180
_cell_length_b 4.180
_cell_length_c 7.240
_cell_angle_alpha 73.22
_cell_angle_beta 73.22
_cell_angle_gamma 60.00
_symmetry_space_group_name_H-M 'P 1'
_symmetry_Int_Tables_number 1
loop_
_symmetry_equiv_pos_as_xyz
'x,y,z'
loop_
_atom_site_label
_atom_site_fract_x
_atom_site_fract_y
_atom_site_fract_z
_atom_site_occupancy
Dy1 0.194 0.194 0.419 1
S1 0.449 0.449 0.653 1
La1 0.694 0.694 0.918 1
Ge1 0.940 0.940 0.181 1

=====

Repeat the third record exactly.
# CsFe2AuCl8 | the Alexandria database | PBE | relaxed
# - Calculated density: 3.07 g cm⁻³
# - E_form (uncorrected): -875.4 meV/atom
# - E: -46.334 eV for the cell shown
data_CsFe2AuCl8
_chemical_formula_sum 'Cs1 Fe2 Au1 Cl8'
_cell_length_a 6.978
_cell_length_b 7.694
_cell_length_c 9.417
_cell_angle_alpha 62.80
_cell_angle_beta 68.25
_cell_angle_gamma 63.04
_symmetry_space_group_name_H-M 'P 1'
_symmetry_Int_Tables_number 1
loop_
_symmetry_equiv_pos_as_xyz
'x,y,z'
loop_
_atom_site_label
_atom_site_fract_x
_atom_site_fract_y
_atom_site_fract_z
_atom_site_occupancy
Cl1 0.322 0.438 0.919 1
Cl2 0.678 0.562 0.081 1
Cl3 0.140 0.998 0.219 1
Cl4 0.644 0.998 0.219 1
Cl5 0.860 0.002 0.781 1
Cl6 0.861 0.626 0.651 1
Cl7 0.139 0.374 0.349 1
Cl8 0.356 0.002 0.781 1
Au1 0.000 0.000 0.000 1
Cs1 0.500 0.500 0.500 1
Fe1 0.307 0.216 0.169 1
Fe2 0.693 0.784 0.831 1

=====

Question: What is the E in the sixth record?
Answer: -24.102 eV for the cell shown

=====

Question: Which value of E does entry 4 give?
Answer: -15.441 eV for the cell shown